[1]
RbPuVN3: relaxed, PBE-GGA.

POSCAR file:
```
RbPuVN3
1.0
-1.892 -0.093 3.242
-0.596 -6.396 -2.705
6.881 -0.256 4.009
N Rb Pu V
6 2 2 2
Direct
0.860 0.719 0.262
0.828 0.656 0.595
0.512 0.024 0.315
0.140 0.281 0.738
0.172 0.344 0.405
0.488 0.976 0.685
0.358 0.716 0.938
0.642 0.284 0.062
0.656 0.313 0.568
0.344 0.687 0.432
0.999 0.997 0.671
0.001 0.003 0.329
```

Properties
Space group: C2/m, No. 12
ΔE_f (raw), eV per atom: -0.67


[2]
NaCaEuPd: relaxed, PBE-GGA.

POSCAR file:
```
NaCaEuPd
1.0
5.377 0.000 0.000
2.688 4.656 0.000
2.688 1.552 4.390
Eu Pd Na Ca
1 1 1 1
Direct
0.250 0.250 0.250
0.000 0.000 0.000
0.500 0.500 0.500
0.750 0.750 0.750
```

Properties
Space group: F-43m, No. 216
Formation energy from the elements, eV/atom: -0.227


[3]
PmGa4Ir2Rh: relaxed, PBE-GGA.

POSCAR file:
```
PmGa4Ir2Rh
1.0
4.264 0.000 0.000
2.132 3.693 0.000
2.132 1.231 8.696
Ir Ga Rh Pm
2 4 1 1
Direct
0.765 0.765 0.706
0.235 0.235 0.294
0.401 0.401 0.798
0.599 0.599 0.202
0.868 0.868 0.395
0.132 0.132 0.605
0.500 0.500 0.500
0.000 0.000 0.000
```

Properties
Space group: R-3m, No. 166
Formation energy from the elements, eV/atom: -0.624


[4]
CrGa3Os: relaxed, PBE-GGA.

POSCAR file:
```
CrGa3Os
1.0
-3.602 3.070 0.110
-3.050 -3.595 0.429
0.362 0.256 4.713
Ga Cr Os
3 1 1
Direct
0.500 0.000 0.000
0.000 0.000 0.500
0.000 0.500 0.000
0.500 0.500 0.500
0.000 0.000 0.000
```

Properties
Excess energy over the best structure of this formula in the dataset, meV per atom: 0
Space group: Pm-3m, No. 221
Formation energy from the elements, eV/atom: 0.997


[5]
Sb5C3: relaxed, PBE-GGA.

POSCAR file:
```
Sb5C3
1.0
-5.730 -1.439 -2.975
5.048 -3.618 -2.276
-0.729 -2.733 2.727
Sb C
5 3
Direct
0.000 0.500 0.000
0.692 0.692 0.500
0.308 0.308 0.500
0.000 0.000 0.000
0.500 0.000 0.000
0.321 0.679 0.500
0.679 0.321 0.500
0.500 0.500 0.000
```

Properties
Excess energy over the best structure of this formula in the dataset, meV per atom: 549
Space group: Cmmm, No. 65
ΔE_f (raw), eV per atom: 1.70


[6]
AlRu2Rh: relaxed, PBE-GGA.

POSCAR file:
```
AlRu2Rh
1.0
-1.399 1.605 -1.703
2.034 -1.477 -1.054
-5.536 -6.499 -1.578
Rh Al Ru
1 1 2
Direct
0.500 0.500 0.735
0.000 0.000 0.501
0.500 0.500 0.259
0.000 0.000 0.005
```

Properties
Space group: Cmm2, No. 35
Formation energy from the elements, eV/atom: 0.022


[7]
Hg2Pd4Pb: relaxed, PBE-GGA.

POSCAR file:
```
Hg2Pd4Pb
1.0
4.622 0.000 0.000
2.311 4.003 0.000
2.311 1.334 7.638
Pd Hg Pb
4 2 1
Direct
0.122 0.122 0.635
0.620 0.620 0.141
0.878 0.878 0.365
0.380 0.380 0.859
0.241 0.241 0.276
0.759 0.759 0.724
0.000 0.000 0.000
```

Properties
Space group: R-3m, No. 166
Formation energy from the elements, eV/atom: -0.018


[8]
Mg2ZrS4: relaxed, PBE-GGA.

POSCAR file:
```
Mg2ZrS4
1.0
-1.819 0.058 7.379
3.952 -6.411 1.025
8.740 5.726 2.109
Mg S Zr
8 16 4
Direct
0.748 0.748 0.875
0.748 0.500 0.250
0.252 0.748 0.125
0.748 0.252 0.625
0.252 0.252 0.375
0.500 0.748 0.500
0.500 0.252 0.000
0.252 0.500 0.750
0.249 0.517 0.506
0.245 0.015 0.992
0.517 0.249 0.244
0.985 0.245 0.242
0.015 0.245 0.758
0.015 0.755 0.742
0.985 0.755 0.258
0.755 0.015 0.008
0.751 0.483 0.006
0.483 0.751 0.744
0.245 0.985 0.508
0.249 0.483 0.994
0.517 0.751 0.256
0.483 0.249 0.756
0.751 0.517 0.494
0.755 0.985 0.492
0.737 0.000 0.250
0.000 0.263 0.000
0.000 0.737 0.500
0.263 0.000 0.750
```

Properties
Excess energy over the best structure of this formula in the dataset, meV per atom: 0
Space group: P4_122, No. 91
ΔE_f (raw), eV per atom: -1.44


[9]
ScTi2V: relaxed, PBE-GGA.

POSCAR file:
```
ScTi2V
1.0
4.647 0.000 0.000
2.324 4.025 0.000
2.324 1.342 3.795
Sc Ti V
1 2 1
Direct
0.500 0.500 0.500
0.750 0.750 0.750
0.250 0.250 0.250
0.000 0.000 0.000
```

Properties
Excess energy over the best structure of this formula in the dataset, meV per atom: 121
Space group: Fm-3m, No. 225
Formation energy from the elements, eV/atom: 0.223


[10]
Tb12Pm7Tm: relaxed, PBE-GGA.

POSCAR file:
```
Tb12Pm7Tm
1.0
-8.797 -4.354 -0.254
5.789 -3.912 -6.899
4.066 -1.349 8.835
Tb Pm Tm
12 7 1
Direct
0.754 0.508 0.754
0.000 0.754 0.246
0.246 0.246 0.492
0.754 0.754 0.508
0.000 0.246 0.754
0.492 0.246 0.246
0.246 0.754 0.000
0.246 0.492 0.246
0.246 0.000 0.754
0.508 0.754 0.754
0.754 0.000 0.246
0.754 0.246 0.000
0.500 0.000 0.500
0.500 0.500 0.500
0.000 0.500 0.500
0.500 0.000 0.000
0.000 0.000 0.500
0.000 0.500 0.000
0.500 0.500 0.000
0.000 0.000 0.000
```

Properties
Excess energy over the best structure of this formula in the dataset, meV per atom: 410
Space group: Im-3m, No. 229
Formation energy from the elements, eV/atom: 0.643


| no. | calculated density (g cm⁻³) | E (eV/atom) |
| --- | --- | --- |
| 1 | 7.2 | -8.90 |
| 2 | 4.9 | -4.92 |
| 3 | 11.1 | -5.87 |
| 4 | 7.1 | -4.99 |
| 5 | 6.8 | -4.34 |
| 6 | 9.6 | -7.39 |
| 7 | 12.1 | -3.60 |
| 8 | 2.9 | -5.48 |
| 9 | 4.5 | -7.59 |
| 10 | 7.0 | -4.02 |